1.
Density functional theory data (PBE) for a geometry-optimized SrLiPu structure.

It has space group F-43m (No. 216), with a = 7.6024 Å, b = 7.6024 Å, c = 7.6024 Å, α = 90.00°, β = 90.00° and γ = 90.00°. The distinct sites, in fractional coordinates, are Sr at (0.0000, 0.0000, 0.0000), Li at (0.2500, 0.2500, 0.7500) and Pu at (0.0000, 0.0000, 0.5000).

2.
Density functional theory data (PBE) for a geometry-optimized LiTbPu structure.

It has space group F-43m (No. 216), with a = 6.9240 Å, b = 6.9240 Å, c = 6.9240 Å, α = 90.00°, β = 90.00° and γ = 90.00°. The distinct sites, in fractional coordinates, are Li at (0.0000, 0.0000, 0.0000), Tb at (0.2500, 0.2500, 0.2500) and Pu at (0.2500, 0.2500, 0.7500).

| no. | total DFT energy (no corrections) (eV per atom) |
| --- | --- |
| 1 | -5.260 |
| 2 | -6.258 |